Here is NaHfBr2 after structural relaxation from Alexandria via LeMat-Bulk. Energies are from PBE.

Unit cell a=6.659 b=6.659 c=6.659 alpha=110.01 beta=110.01 gamma=108.40
Atoms (fractional coordinates):
Na (0.000, 0.000, 0.000)
Na (0.750, 0.250, 0.500)
Hf (0.250, 0.750, 0.500)
Hf (0.500, 0.500, 0.000)
Br (0.152, 0.625, 0.027)
Br (0.375, 0.402, 0.527)
Br (0.598, 0.125, 0.973)
Br (0.875, 0.848, 0.473)

Summary:
E above lowest polymorph, eV per atom: 0.436
ΔE_f (raw), eV per atom: -0.27
SG: I-42d, No. 122


Here is Sn8RhAu2 after structural relaxation from Alexandria via LeMat-Bulk. Energies are from PBE.

Unit cell a=5.192 b=7.122 c=9.155 alpha=91.79 beta=106.38 gamma=111.32
Atoms (fractional coordinates):
Sn (0.046, 0.217, 0.382)
Sn (0.149, 0.645, 0.152)
Sn (0.286, 0.088, 0.983)
Sn (0.417, 0.621, 0.706)
Sn (0.583, 0.379, 0.294)
Sn (0.714, 0.912, 0.017)
Sn (0.851, 0.355, 0.848)
Sn (0.954, 0.783, 0.618)
Rh (0.500, 0.500, 0.000)
Au (0.197, 0.203, 0.692)
Au (0.803, 0.797, 0.308)

Summary:
Calculated formation energy, meV per atom: -72.8
SG: P-1, No. 2


no.,DOS(E_F) (states/eV/f.u.)
1,3.37
2,4.13